(1)
Entry from Alexandria: a geometry-optimized MoRhN2 structure (PBE-GGA).

a b c (Å): 3.833 3.833 3.833
angles (deg): 60.00 60.00 60.00
Atoms (fractional coordinates):
1 Mo 0.000 0.000 0.000
2 Rh 0.500 0.500 0.500
3 N 0.250 0.250 0.250
4 N 0.750 0.750 0.750

SG: Fm-3m, No. 225
N(E_F): 1.010 states/eV per atom
magnetic moment: 0.00 μB per formula unit

(2)
Entry from Alexandria: a geometry-optimized MoRhN2 structure (PBE-GGA).

a b c (Å): 5.740 5.740 5.740
angles (deg): 132.39 132.39 69.61
Atoms (fractional coordinates):
1 Mo 0.000 0.000 0.000
2 Mo 0.750 0.250 0.500
3 Rh 0.250 0.750 0.500
4 Rh 0.500 0.500 0.000
5 N 0.098 0.625 0.973
6 N 0.375 0.348 0.473
7 N 0.652 0.125 0.027
8 N 0.875 0.902 0.527

SG: I-42d, No. 122
N(E_F): 0.856 states/eV per atom
magnetic moment: 0.00 μB per formula unit

(3)
Entry from Alexandria: a geometry-optimized MoRhN2 structure (PBE-GGA).

a b c (Å): 6.607 6.607 6.607
angles (deg): 25.50 25.50 25.50
Atoms (fractional coordinates):
1 Mo 0.000 0.000 0.000
2 Rh 0.500 0.500 0.500
3 N 0.397 0.397 0.397
4 N 0.603 0.603 0.603

SG: R-3m, No. 166
N(E_F): 0.872 states/eV per atom
magnetic moment: 0.00 μB per formula unit

Quick one: least stable of them? (1)

(1)
Entry from Alexandria: a geometry-optimized MoRhSN2 structure (PBE-GGA).

a b c (Å): 3.829 3.829 4.893
angles (deg): 90.00 90.00 90.00
Atoms (fractional coordinates):
1 Mo 0.000 0.000 0.000
2 Rh 0.500 0.500 0.500
3 S 0.500 0.500 0.000
4 N 0.000 0.500 0.500
5 N 0.500 0.000 0.500

SG: P4/mmm, No. 123
N(E_F): 0.928 states/eV per atom
magnetic moment: 2.06 μB per formula unit

(2)
Entry from Alexandria: a geometry-optimized MoRhSN2 structure (PBE-GGA).

a b c (Å): 3.833 3.833 5.033
angles (deg): 90.00 90.00 90.00
Atoms (fractional coordinates):
1 Mo 0.000 0.000 0.000
2 Rh 0.500 0.500 0.500
3 S 0.000 0.000 0.500
4 N 0.000 0.500 0.000
5 N 0.500 0.000 0.000

SG: P4/mmm, No. 123
N(E_F): 0.989 states/eV per atom
magnetic moment: 0.00 μB per formula unit

Quick one: least stable of them? (1)

(1)
Entry from Alexandria: a geometry-optimized MoRhS2N structure (PBE-GGA).

a b c (Å): 4.829 4.829 3.618
angles (deg): 90.00 90.00 90.00
Atoms (fractional coordinates):
1 Mo 0.000 0.000 0.000
2 Rh 0.500 0.500 0.500
3 S 0.000 0.500 0.500
4 S 0.500 0.000 0.500
5 N 0.500 0.500 0.000

SG: P4/mmm, No. 123
N(E_F): 0.524 states/eV per atom
magnetic moment: 3.38 μB per formula unit

(2)
Entry from Alexandria: a geometry-optimized MoRhS2N structure (PBE-GGA).

a b c (Å): 4.769 4.769 3.740
angles (deg): 90.00 90.00 90.00
Atoms (fractional coordinates):
1 Mo 0.000 0.000 0.000
2 Rh 0.500 0.500 0.500
3 S 0.000 0.500 0.000
4 S 0.500 0.000 0.000
5 N 0.000 0.000 0.500

SG: P4/mmm, No. 123
N(E_F): 0.699 states/eV per atom
magnetic moment: 0.00 μB per formula unit

Quick one: least stable of them? (1)

(1)
Entry from Alexandria: a geometry-optimized MoRhSe2N structure (PBE-GGA).

a b c (Å): 5.010 5.010 3.735
angles (deg): 90.00 90.00 90.00
Atoms (fractional coordinates):
1 Mo 0.000 0.000 0.000
2 Rh 0.500 0.500 0.500
3 Se 0.000 0.500 0.000
4 Se 0.500 0.000 0.000
5 N 0.000 0.000 0.500

SG: P4/mmm, No. 123
N(E_F): 0.675 states/eV per atom
magnetic moment: 0.00 μB per formula unit

(2)
Entry from Alexandria: a geometry-optimized MoRhSe2N structure (PBE-GGA).

a b c (Å): 5.081 5.081 3.628
angles (deg): 90.00 90.00 90.00
Atoms (fractional coordinates):
1 Mo 0.000 0.000 0.000
2 Rh 0.500 0.500 0.500
3 Se 0.000 0.500 0.500
4 Se 0.500 0.000 0.500
5 N 0.500 0.500 0.000

SG: P4/mmm, No. 123
N(E_F): 0.566 states/eV per atom
magnetic moment: 3.33 μB per formula unit

Quick one: least stable of them? (2)